1.
Entry from Alexandria: crystalline ErSc2S4 at its relaxed geometry (PBE).

Cell: 3.6704 12.1826 12.6678 Å, 90.00 90.00 90.00°
With the nearest neighbours (Å) after each atom.
Space group Cmcm (No. 63)
Unique sites:
Er  0.0000  0.1240  0.2500 [4 per cell]  6 S 2.70-2.77
Sc  0.0000  0.3720  0.0655 [8 per cell]  6 S 2.55-2.64
S  0.0000  0.0000  0.0000 [4 per cell]  4 Sc 2.55
S  0.0000  0.2736  0.6191 [8 per cell]  3 Sc 2.63-2.64, 2 Er 2.77
S  0.0000  0.4611  0.2500 [4 per cell]  2 Sc 2.58, 2 Er 2.70

Calculated values
formation energy (no corrections) = -190 kJ per mole of atoms
electronic total energy = -0.4990 Ry/atom
crystal system = orthorhombic
M_tot = 0.0 μB per formula unit

2.
Entry from Alexandria: crystalline LaFeIr2 at its relaxed geometry (PBE).

Cell: 3.0528 4.3567 5.7509 Å, 90.00 99.71 90.00°
With the nearest neighbours (Å) after each atom.
Space group Pm (No. 6)
Unique sites:
La  0.0000  0.0000  0.0000 [1 per cell]  5 Ir 2.81-2.97, 2 La 3.05
Fe  0.8213  0.5000  0.4117 [1 per cell]  6 Ir 2.55-2.80
Ir  0.4068  0.0000  0.4766 [1 per cell]  4 Fe 2.58-2.80, 2 Ir 2.76, 1 La 2.81
Ir  0.4383  0.5000  0.7725 [1 per cell]  2 Fe 2.55-2.56, 2 Ir 2.76

Calculated values
electronic total energy = -0.5701 Ry/atom
crystal system = monoclinic
energy of formation = 0.02 eV/atom
M_tot = 3.4 μB per formula unit

3.
Entry from Alexandria: crystalline Ac2Cd3Cu4 at its relaxed geometry (PBE).

Cell: 6.1960 17.0102 7.5781 Å, 90.00 90.00 90.00°
With the nearest neighbours (Å) after each atom.
Space group Cmce (No. 64)
Unique sites:
Ac  0.0000  0.1078  0.0858 [8 per cell]  5 Cu 3.06-3.29, 2 Cd 3.40
Cd  0.0000  0.0000  0.5000 [4 per cell]  6 Cu 2.71-2.76
Cd  0.2500  0.2304  0.7500 [8 per cell]  5 Cu 2.74-3.02
Cu  0.0000  0.1622  0.4938 [8 per cell]  5 Cd 2.74-3.02, 2 Cu 2.96
Cu  0.2500  0.0679  0.7500 [8 per cell]  3 Cd 2.71-2.76, 2 Cu 2.96

Calculated values
electronic total energy = -0.2302 Ry/atom
crystal system = orthorhombic
energy of formation = -0.09 eV/atom
M_tot = 0.0 μB per formula unit

4.
Entry from Alexandria: crystalline Bi4Se3 at its relaxed geometry (PBE).

Cell: 4.3242 4.3242 40.8805 Å, 90.00 90.00 120.00°
With the nearest neighbours (Å) after each atom.
Space group R-3m (No. 166, hexagonal axes)
Unique sites:
Bi  0.0000  0.0000  0.1453 [6 per cell]  3 Bi 3.05
Bi  0.0000  0.0000  0.2877 [6 per cell]  6 Se 2.92-3.12
Se  0.0000  0.0000  0.0000 [3 per cell]  6 Bi 3.12
Se  0.0000  0.0000  0.4161 [6 per cell]  3 Bi 2.92

Calculated values
formation energy (no corrections) = -27 kJ per mole of atoms
electronic total energy = -0.2931 Ry/atom
crystal system = trigonal
M_tot = 0.0 μB per formula unit

5.
Entry from Alexandria: crystalline MnTe3 at its relaxed geometry (PBE).

Cell: 3.7202 3.8178 7.7224 Å, 90.00 90.00 90.00°
With the nearest neighbours (Å) after each atom.
Space group Pmm2 (No. 25)
Unique sites:
Mn  0.0000  0.0000  0.0000 [1 per cell]  6 Te 2.71-2.87
Te  0.0000  0.5000  0.4637 [1 per cell]  6 Te 3.12-3.44
Te  0.5000  0.0000  0.7450 [1 per cell]  2 Mn 2.71
Te  0.5000  0.5000  0.1391 [1 per cell]  4 Mn 2.87, 2 Te 3.12

Calculated values
formation energy (no corrections) = 17 kJ per mole of atoms
electronic total energy = -0.3286 Ry/atom
crystal system = orthorhombic
M_tot = 3.8 μB per formula unit

6.
Entry from Alexandria: crystalline Tb9PrTl2 at its relaxed geometry (PBE).

Cell: 4.8961 4.8961 15.1555 Å, 90.00 90.00 90.00°
With the nearest neighbours (Å) after each atom.
Space group P4/mmm (No. 123)
Unique sites:
Tb  0.0000  0.0000  0.0000 [1 per cell]  4 Pr 3.46, 8 Tb 3.61
Tb  0.0000  0.0000  0.3392 [2 per cell]  8 Tb 3.45-3.49, 4 Tl 3.46
Tb  0.0000  0.5000  0.1748 [4 per cell]  8 Tb 3.46-3.61, 2 Tl 3.50, 2 Pr 3.61
Tb  0.0000  0.5000  0.5000 [2 per cell]  4 Tl 3.45, 8 Tb 3.45-3.46
Pr  0.5000  0.5000  0.0000 [1 per cell]  12 Tb 3.46-3.61
Tl  0.5000  0.5000  0.3399 [2 per cell]  12 Tb 3.45-3.50

Calculated values
electronic total energy = -0.3213 Ry/atom
crystal system = tetragonal
energy of formation = -0.11 eV/atom
M_tot = 0.0 μB per formula unit

7.
Entry from Alexandria: crystalline Ac2Mg4GaSn3 at its relaxed geometry (PBE).

Cell: 4.7973 4.7973 11.7860 Å, 90.00 90.00 90.00°
With the nearest neighbours (Å) after each atom.
Space group P-4m2 (No. 115)
Unique sites:
Ac  0.0000  0.5000  0.2339 [2 per cell]  8 Mg 3.64-3.95, 6 Sn 3.65-3.69, 2 Ga 3.65
Mg  0.0000  0.0000  0.5000 [1 per cell]  4 Sn 2.93
Mg  0.0000  0.5000  0.8782 [2 per cell]  3 Sn 2.77-2.80, 2 Ga 2.80
Mg  0.5000  0.5000  0.5000 [1 per cell]  4 Sn 2.93
Ga  0.5000  0.5000  0.0000 [1 per cell]  4 Mg 2.80
Sn  0.0000  0.0000  0.0000 [1 per cell]  4 Mg 2.80
Sn  0.0000  0.5000  0.6433 [2 per cell]  5 Mg 2.77-2.93

Calculated values
electronic total energy = -0.2508 Ry/atom
crystal system = tetragonal
energy of formation = -0.45 eV/atom
M_tot = 0.0 μB per formula unit

8.
Entry from Alexandria: crystalline Dy3Ho2Er2 at its relaxed geometry (PBE).

Cell: 17.2288 3.4695 8.4261 Å, 90.00 119.18 90.00°
With the nearest neighbours (Å) after each atom.
Space group C2/m (No. 12)
Unique sites:
Dy  0.0000  0.0000  0.0000 [2 per cell]  4 Dy 3.28-3.47, 2 Er 3.49, 4 Ho 3.52
Dy  0.2120  0.0000  0.3006 [4 per cell]  5 Dy 3.28-3.47, 3 Ho 3.40-3.53, 3 Er 3.55-3.60
Ho  0.0654  0.5000  0.4092 [4 per cell]  3 Ho 3.28-3.47, 5 Dy 3.40-3.53, 4 Er 3.53-3.64
Er  0.1467  0.0000  0.8250 [4 per cell]  4 Er 3.47-3.76, 4 Dy 3.49-3.60, 4 Ho 3.53-3.64

Calculated values
electronic total energy = -0.3284 Ry/atom
crystal system = monoclinic
energy of formation = 0.12 eV/atom
polymorph energy (0 for the lowest one) = 0.095 eV per atom
M_tot = 0.0 μB per formula unit

9.
Entry from Alexandria: crystalline LaTbPm6Dy2 at its relaxed geometry (PBE).

Cell: 9.2559 15.3128 9.7785 Å, 90.00 98.11 90.00°
With the nearest neighbours (Å) after each atom.
Space group C2/c (No. 15)
Unique sites:
La  0.0000  0.0945  0.2500 [4 per cell]  6 Pm 3.50-3.62, 2 Dy 3.63
Tb  0.0000  0.4710  0.7500 [4 per cell]  4 Dy 3.42-3.43, 4 Pm 3.58-3.69
Pm  0.0647  0.3226  0.4446 [8 per cell]  6 Pm 3.44-3.82, 1 Dy 3.48, 1 Tb 3.69
Pm  0.0988  0.1070  0.6213 [8 per cell]  3 Pm 3.26-3.44, 3 Dy 3.34-3.49, 2 La 3.50-3.62
Pm  0.2048  0.2734  0.8185 [8 per cell]  2 Pm 3.26-3.60, 1 Dy 3.49, 1 La 3.54, 1 Tb 3.58
Dy  0.2433  0.4509  0.0452 [8 per cell]  6 Pm 3.34-3.69, 2 Tb 3.42-3.43, 1 La 3.63

Calculated values
electronic total energy = -0.3388 Ry/atom
crystal system = monoclinic
energy of formation = 0.12 eV/atom
M_tot = 0.0 μB per formula unit

10.
Entry from Alexandria: crystalline Nd3MgTe4 at its relaxed geometry (PBE).

Cell: 9.1236 12.6172 4.3359 Å, 90.00 90.00 90.00°
With the nearest neighbours (Å) after each atom.
Space group Cmmm (No. 65)
Unique sites:
Nd  0.0000  0.0000  0.0000 [2 per cell]  6 Te 3.27-3.28
Nd  0.2500  0.2500  0.5000 [4 per cell]  6 Te 3.15-3.16
Mg  0.0000  0.5000  0.0000 [2 per cell]  6 Te 3.03
Te  0.0000  0.2598  0.0000 [4 per cell]  1 Mg 3.03, 5 Nd 3.15-3.28
Te  0.2320  0.5000  0.5000 [4 per cell]  2 Mg 3.03, 4 Nd 3.16-3.27

Calculated values
formation energy (no corrections) = -118 kJ per mole of atoms
electronic total energy = -0.3514 Ry/atom
crystal system = orthorhombic
M_tot = 0.0 μB per formula unit

11.
Entry from Alexandria: crystalline MgScTa2 at its relaxed geometry (PBE).

Cell: 6.7652 6.7652 6.7652 Å, 90.00 90.00 90.00°
With the nearest neighbours (Å) after each atom.
Space group F-43m (No. 216)
Unique sites:
Mg  0.0000  0.0000  0.0000 [4 per cell]  4 Ta 2.93, 4 Sc 2.93
Sc  0.2500  0.2500  0.7500 [4 per cell]  4 Ta 2.93, 4 Mg 2.93
Ta  0.0000  0.0000  0.5000 [4 per cell]  4 Ta 2.93, 4 Sc 2.93
Ta  0.2500  0.2500  0.2500 [4 per cell]  4 Ta 2.93, 4 Mg 2.93

Calculated values
electronic total energy = -0.5616 Ry/atom
crystal system = cubic
energy of formation = 0.27 eV/atom
M_tot = 0.0 μB per formula unit

12.
Entry from Alexandria: crystalline Tl2InW at its relaxed geometry (PBE).

Cell: 5.4425 3.0471 5.4901 Å, 90.00 97.23 90.00°
With the nearest neighbours (Å) after each atom.
Space group P2/m (No. 10)
Unique sites:
Tl  0.0000  0.0000  0.0000 [1 per cell]  6 Tl 3.05-3.14, 4 W 3.12
Tl  0.0000  0.5000  0.5000 [1 per cell]  6 Tl 3.05-3.14, 4 In 3.12
In  0.5000  0.0000  0.5000 [1 per cell]  2 In 3.05, 4 Tl 3.12, 4 W 3.14
W  0.5000  0.5000  0.0000 [1 per cell]  2 W 3.05, 4 Tl 3.12, 4 In 3.14

Calculated values
electronic total energy = -0.3125 Ry/atom
crystal system = monoclinic
energy of formation = 0.85 eV/atom
polymorph energy (0 for the lowest one) = 0.238 eV per atom
M_tot = 0.0 μB per formula unit